This record from the Alexandria database describes PaCuPS after structural relaxation. The functional is PBE.

As for the polymorph energy (0 for the lowest one): 0.0 meV per atom. As for the formation energy without anion corrections: -3.61 eV/f.u. The calculation puts the calculated total energy at -0.246 Ha/atom. As for the symmetry: P4/nmm, No. 129.

Unit cell a=4.086 b=4.086 c=8.384 alpha=90.00 beta=90.00 gamma=90.00
Sites, in units of the cell vectors:
Pa 0.250 0.250 0.218
Pa 0.750 0.750 0.782
Cu 0.250 0.750 0.500
Cu 0.750 0.250 0.500
P 0.250 0.250 0.660
P 0.750 0.750 0.340
S 0.250 0.750 0.000
S 0.750 0.250 0.000

***

This record from the Alexandria database describes CsSb after structural relaxation. The functional is PBE.

As for the polymorph energy (0 for the lowest one): 0.0 meV per atom. As for the formation energy without anion corrections: -0.93 eV/f.u. The calculation puts the calculated total energy at -0.108 Ha/atom. As for the symmetry: P2_12_12_1, No. 19.

Unit cell a=7.541 b=7.821 c=13.492 alpha=90.00 beta=90.00 gamma=90.00
Sites, in units of the cell vectors:
Cs 0.096 0.103 0.419
Cs 0.172 0.342 0.786
Cs 0.328 0.658 0.286
Cs 0.404 0.897 0.919
Cs 0.596 0.397 0.581
Cs 0.672 0.158 0.214
Cs 0.828 0.842 0.714
Cs 0.904 0.603 0.081
Sb 0.090 0.566 0.531
Sb 0.172 0.180 0.113
Sb 0.328 0.820 0.613
Sb 0.410 0.434 0.031
Sb 0.590 0.934 0.469
Sb 0.672 0.320 0.887
Sb 0.828 0.680 0.387
Sb 0.910 0.066 0.969

***

This record from the Alexandria database describes TbGa3RuRh after structural relaxation. The functional is PBE.

The value obtained for the calculated formation energy is -0.43 eV/atom. The calculation puts the calculated total energy at -0.202 Ha/atom. As for the symmetry: Cmcm, No. 63.

Unit cell a=6.663 b=6.663 c=5.536 alpha=90.00 beta=90.00 gamma=107.60
Sites, in units of the cell vectors:
Tb 0.205 0.795 0.750
Tb 0.795 0.205 0.250
Ga 0.242 0.242 0.000
Ga 0.242 0.242 0.500
Ga 0.320 0.680 0.250
Ga 0.680 0.320 0.750
Ga 0.758 0.758 0.000
Ga 0.758 0.758 0.500
Ru 0.451 0.549 0.750
Ru 0.549 0.451 0.250
Rh 0.089 0.911 0.250
Rh 0.911 0.089 0.750

***

This record from the Alexandria database describes Ho5Mg2Hg12 after structural relaxation. The functional is PBE.

The value obtained for the calculated formation energy is -0.29 eV/atom. The calculation puts the calculated total energy at -0.068 Ha/atom. As for the symmetry: C2/m, No. 12.

Unit cell a=8.542 b=8.542 c=7.130 alpha=91.35 beta=91.35 gamma=63.59
Sites, in units of the cell vectors:
Ho 0.000 0.000 0.000
Ho 0.254 0.254 0.938
Ho 0.314 0.314 0.451
Ho 0.686 0.686 0.549
Ho 0.746 0.746 0.062
Mg 0.261 0.739 0.500
Mg 0.739 0.261 0.500
Hg 0.042 0.627 0.735
Hg 0.107 0.107 0.589
Hg 0.150 0.611 0.152
Hg 0.373 0.958 0.265
Hg 0.389 0.850 0.848
Hg 0.465 0.465 0.774
Hg 0.535 0.535 0.226
Hg 0.611 0.150 0.152
Hg 0.627 0.042 0.735
Hg 0.850 0.389 0.848
Hg 0.893 0.893 0.411
Hg 0.958 0.373 0.265

***

This record from the Alexandria database describes Cs4H2I after structural relaxation. The functional is PBE.

The calculation puts the calculated total energy at -0.072 Ha/atom. As for the symmetry: I4/mmm, No. 139.

Unit cell a=10.003 b=10.003 c=10.003 alpha=137.88 beta=137.88 gamma=61.09
Sites, in units of the cell vectors:
Cs 0.000 0.500 0.500
Cs 0.239 0.239 0.000
Cs 0.500 0.000 0.500
Cs 0.761 0.761 0.000
H 0.400 0.400 0.000
H 0.600 0.600 0.000
I 0.000 0.000 0.000

***

This record from the Alexandria database describes Ac2TbDy3 after structural relaxation. The functional is PBE.

The value obtained for the calculated formation energy is 0.06 eV/atom. The calculation puts the calculated total energy at -0.161 Ha/atom. As for the symmetry: P-1, No. 2.

Unit cell a=5.236 b=8.263 c=11.083 alpha=72.50 beta=76.36 gamma=71.59
Sites, in units of the cell vectors:
Ac 0.034 0.296 0.135
Ac 0.291 0.053 0.866
Ac 0.709 0.947 0.134
Ac 0.966 0.704 0.865
Tb 0.372 0.621 0.135
Tb 0.628 0.379 0.865
Dy 0.123 0.868 0.385
Dy 0.211 0.462 0.616
Dy 0.452 0.208 0.388
Dy 0.548 0.792 0.612
Dy 0.789 0.538 0.384
Dy 0.877 0.132 0.615